# GGA-PBE Sm7DyZn4, optimized geometry
data_Sm7DyZn4
_chemical_formula_sum 'Sm14 Dy2 Zn8'
_cell_length_a 14.087
_cell_length_b 5.606
_cell_length_c 10.034
_cell_angle_alpha 90.00
_cell_angle_beta 123.27
_cell_angle_gamma 90.00
_space_group_name_H-M_alt 'C 1 2/m 1'
_space_group_IT_number 12
loop_
_space_group_symop_operation_xyz
'x,y,z'
'-x,-y,-z'
'-x,y,-z'
'x,-y,z'
'x+1/2,y+1/2,z'
'-x+1/2,-y+1/2,-z'
'-x+1/2,y+1/2,-z'
'x+1/2,-y+1/2,z'
loop_
_atom_site_label
_atom_site_type_symbol
_atom_site_fract_x
_atom_site_fract_y
_atom_site_fract_z
Sm1 Sm 0.000 0.000 0.000
Sm2 Sm 0.069 0.500 0.398
Sm3 Sm 0.207 0.500 0.879
Sm4 Sm 0.219 0.000 0.665
Dy1 Dy 0.000 0.500 0.000
Zn1 Zn 0.045 0.000 0.744
Zn2 Zn 0.178 0.000 0.337
# DOS(E_F) (states/eV/cell): 30.62
# Spin magnetization (μB/cell): 0.23
# E_form (kcal/mol of atoms): -0.212